1.
A plane-wave DFT calculation with PBE was carried out for Na4U3NiN8 after structural relaxation.

Cell: 7.015 7.015 6.677 Å, 117.84 117.84 55.06°
Atoms (fractional coordinates):
Na1 0.000 0.000 0.000
Na2 0.000 0.500 0.000
Na3 0.500 0.000 0.000
Na4 0.500 0.500 0.000
U1 0.000 0.000 0.500
U2 0.000 0.500 0.500
U3 0.500 0.000 0.500
Ni1 0.500 0.500 0.500
N1 0.220 0.220 0.277
N2 0.224 0.224 0.691
N3 0.224 0.708 0.661
N4 0.292 0.776 0.339
N5 0.708 0.224 0.661
N6 0.776 0.292 0.339
N7 0.776 0.776 0.309
N8 0.780 0.780 0.723

Properties
The value obtained for the volume is 228.91 Å³/cell. The calculation puts the uncorrected formation energy at -0.752 eV/atom. Its total magnetic moment is 0.01 μB per formula unit. As for the space group: C2/m (12).



2.
A plane-wave DFT calculation with PBE was carried out for KNpTeO6 after structural relaxation.

Cell: 5.729 5.729 11.610 Å, 90.00 90.00 120.00°
Atoms (fractional coordinates):
K1 0.000 0.000 0.000
K2 0.000 0.000 0.500
Np1 0.333 0.667 0.250
Np2 0.667 0.333 0.750
Te1 0.333 0.667 0.750
Te2 0.667 0.333 0.250
O1 0.013 0.388 0.155
O2 0.013 0.625 0.345
O3 0.375 0.388 0.345
O4 0.375 0.987 0.155
O5 0.388 0.013 0.655
O6 0.388 0.375 0.845
O7 0.612 0.625 0.155
O8 0.612 0.987 0.345
O9 0.625 0.013 0.845
O10 0.625 0.612 0.655
O11 0.987 0.375 0.655
O12 0.987 0.612 0.845

Properties
The value obtained for the volume is 329.95 Å³/cell. The calculation puts the uncorrected formation energy at -1.911 eV/atom. Its total magnetic moment is 0.00 μB per formula unit. As for the space group: P-31c (163).



3.
A plane-wave DFT calculation with PBE was carried out for La2PmSb after structural relaxation.

Cell: 4.663 4.637 12.311 Å, 90.00 101.01 90.00°
Atoms (fractional coordinates):
La1 0.044 0.250 0.124
La2 0.422 0.250 0.859
La3 0.578 0.750 0.141
La4 0.956 0.750 0.876
Pm1 0.302 0.750 0.606
Pm2 0.698 0.250 0.394
Sb1 0.174 0.750 0.343
Sb2 0.826 0.250 0.657

Properties
The density of states at the Fermi level comes out at 8.57 states/eV/cell. The value obtained for the volume is 261.28 Å³/cell. The calculation puts the uncorrected formation energy at -0.576 eV/atom. Its total magnetic moment is 0.00 μB per formula unit. The relative energy among the computed polymorphs is 0.09 eV per formula unit. As for the space group: P2_1/m (11).



4.
A plane-wave DFT calculation with PBE was carried out for Nd6GaCo3 after structural relaxation.

Cell: 10.778 3.811 13.683 Å, 90.00 108.60 90.00°
Atoms (fractional coordinates):
Nd1 0.027 0.250 0.120
Nd2 0.058 0.750 0.409
Nd3 0.225 0.250 0.810
Nd4 0.330 0.250 0.596
Nd5 0.345 0.250 0.322
Nd6 0.353 0.750 0.061
Nd7 0.647 0.250 0.939
Nd8 0.655 0.750 0.678
Nd9 0.670 0.750 0.404
Nd10 0.775 0.750 0.190
Nd11 0.942 0.250 0.591
Nd12 0.973 0.750 0.880
Ga1 0.441 0.750 0.793
Ga2 0.559 0.250 0.207
Co1 0.149 0.750 0.643
Co2 0.159 0.250 0.981
Co3 0.437 0.750 0.478
Co4 0.563 0.250 0.522
Co5 0.841 0.750 0.019
Co6 0.851 0.250 0.357

Properties
The density of states at the Fermi level comes out at 19.25 states/eV/cell. The value obtained for the volume is 532.75 Å³/cell. Its total magnetic moment is 0.21 μB per formula unit. As for the space group: P2_1/m (11). The energy of formation is -0.094 eV/atom.



5.
A plane-wave DFT calculation with PBE was carried out for Tl2Ag3Pd7 after structural relaxation.

Cell: 10.642 10.642 4.675 Å, 90.00 90.00 154.43°
Atoms (fractional coordinates):
Tl1 0.148 0.852 0.000
Tl2 0.852 0.148 0.000
Ag1 0.351 0.649 0.500
Ag2 0.500 0.500 0.500
Ag3 0.649 0.351 0.500
Pd1 0.000 0.000 0.000
Pd2 0.072 0.928 0.500
Pd3 0.283 0.717 0.000
Pd4 0.426 0.574 0.000
Pd5 0.574 0.426 0.000
Pd6 0.717 0.283 0.000
Pd7 0.928 0.072 0.500

Properties
The density of states at the Fermi level comes out at 5.26 states/eV/cell. The value obtained for the volume is 228.53 Å³/cell. Its total magnetic moment is 0.00 μB per formula unit. As for the space group: Cmmm (65). The energy of formation is 0.004 eV/atom.



6.
A plane-wave DFT calculation with PBE was carried out for Cs2RbAgCl4 after structural relaxation.

Cell: 8.074 8.074 17.287 Å, 90.00 90.00 146.48°
Atoms (fractional coordinates):
Cs1 0.138 0.862 0.553
Cs2 0.138 0.862 0.947
Cs3 0.862 0.138 0.053
Cs4 0.862 0.138 0.447
Rb1 0.392 0.608 0.750
Rb2 0.608 0.392 0.250
Ag1 0.332 0.668 0.250
Ag2 0.668 0.332 0.750
Cl1 0.077 0.923 0.750
Cl2 0.217 0.783 0.140
Cl3 0.217 0.783 0.360
Cl4 0.500 0.500 0.000
Cl5 0.500 0.500 0.500
Cl6 0.783 0.217 0.640
Cl7 0.783 0.217 0.860
Cl8 0.923 0.077 0.250

Properties
The density of states at the Fermi level comes out at 0.00 states/eV/cell. The value obtained for the volume is 622.26 Å³/cell. The calculation puts the uncorrected formation energy at -1.554 eV/atom. Its total magnetic moment is 0.09 μB per formula unit. As for the space group: Cmcm (63).



- Among the records above, which one has the lowest volume?
  Tl2Ag3Pd7



- Which value of total magnetic moment does entry 6 give?
  0.09 μB per formula unit



- Among the records above, which one has the highest volume?
  Cs2RbAgCl4



- What is the formula in the fourth record?
  Nd6GaCo3